(1)
Density functional theory data (PBE) for crystalline La2ZnNiSb at its relaxed geometry.

Properties
crystal system = tetragonal
energy relative to the elements, uncorrected = -0.6082 eV/atom
space group = No. 123

Unit cell a=5.353 b=5.353 c=4.644 alpha=90.00 beta=90.00 gamma=90.00
Fractional positions:
La  0.000  0.500  0.000
La  0.500  0.000  0.000
Zn  0.000  0.000  0.500
Ni  0.000  0.000  0.000
Sb  0.500  0.500  0.500

=====

(2)
Density functional theory data (PBE) for crystalline Sc7In4Sn at its relaxed geometry.

Properties
crystal system = monoclinic
formation enthalpy at 0 K = -139 meV per atom
space group = No. 12

Unit cell a=7.271 b=7.271 c=10.631 alpha=124.32 beta=124.32 gamma=43.61
Fractional positions:
Sc  0.000  0.000  0.000
Sc  0.154  0.154  0.584
Sc  0.288  0.288  0.130
Sc  0.429  0.429  0.680
Sc  0.571  0.571  0.320
Sc  0.712  0.712  0.870
Sc  0.846  0.846  0.416
In  0.067  0.067  0.775
In  0.209  0.209  0.341
In  0.791  0.791  0.659
In  0.933  0.933  0.225
Sn  0.500  0.500  0.000

=====

(3)
Density functional theory data (PBE) for crystalline Rb2AcNp2S7 at its relaxed geometry.

Properties
crystal system = tetragonal
energy relative to the elements, uncorrected = -1.3988 eV/atom
space group = No. 139

Unit cell a=13.946 b=13.946 c=13.946 alpha=158.63 beta=158.63 gamma=30.40
Fractional positions:
Rb  0.187  0.187  0.000
Rb  0.813  0.813  0.000
Ac  0.000  0.000  0.000
Np  0.405  0.405  0.000
Np  0.595  0.595  0.000
S  0.077  0.577  0.500
S  0.313  0.313  0.000
S  0.423  0.923  0.500
S  0.500  0.500  0.000
S  0.577  0.077  0.500
S  0.687  0.687  0.000
S  0.923  0.423  0.500

=====

(4)
Density functional theory data (PBE) for crystalline Cs2SmMgCl6 at its relaxed geometry.

Properties
crystal system = orthorhombic
energy relative to the elements, uncorrected = -1.8935 eV/atom
space group = No. 59

Unit cell a=7.540 b=10.667 c=7.540 alpha=90.00 beta=90.00 gamma=90.00
Fractional positions:
Cs  0.250  0.000  0.250
Cs  0.250  0.500  0.250
Cs  0.750  0.000  0.750
Cs  0.750  0.500  0.750
Sm  0.250  0.250  0.749
Sm  0.750  0.750  0.251
Mg  0.250  0.750  0.750
Mg  0.750  0.250  0.250
Cl  0.012  0.750  0.513
Cl  0.012  0.750  0.989
Cl  0.250  0.512  0.751
Cl  0.250  0.988  0.751
Cl  0.488  0.750  0.513
Cl  0.488  0.750  0.989
Cl  0.512  0.250  0.011
Cl  0.512  0.250  0.487
Cl  0.750  0.012  0.249
Cl  0.750  0.488  0.249
Cl  0.988  0.250  0.011
Cl  0.988  0.250  0.487

=====

Number 1: energy -24.07 eV per cell. Number 2: energy -60.95 eV per cell. Number 3: energy -77.60 eV per cell. Number 4: energy -76.07 eV per cell.